(1)
The following is a DFT calculation (GGA-PBE) of an optimized crystal structure of Ba2Sr8Cd.

Results
The value obtained for the total DFT energy (no corrections) is -1.672 eV/atom. As for the formation energy: -0.016 eV per atom.

The structure in CIF format:
```
data_Ba2Sr8Cd
_space_group_name_H-M_alt 'C 1 2/m 1'
_space_group_IT_number 12
_cell_length_a 21.844
_cell_length_b 6.667
_cell_length_c 7.921
_cell_angle_alpha 90.00
_cell_angle_beta 91.06
_cell_angle_gamma 90.00
loop_
_space_group_symop_operation_xyz
'x,y,z'
'-x,-y,-z'
'-x,y,-z'
'x,-y,z'
'x+1/2,y+1/2,z'
'-x+1/2,-y+1/2,-z'
'-x+1/2,y+1/2,-z'
'x+1/2,-y+1/2,z'
loop_
_atom_site_label
_atom_site_fract_x
_atom_site_fract_y
_atom_site_fract_z
_atom_site_occupancy
Ba1 0.226 0.000 0.152 1
Sr1 0.034 0.000 0.255 1
Sr2 0.082 0.500 0.894 1
Sr3 0.152 0.500 0.387 1
Sr4 0.155 0.000 0.671 1
Cd1 0.000 0.500 0.500 1
```

=====

(2)
The following is a DFT calculation (GGA-PBE) of an optimized crystal structure of MgInCoN.

Results
The value obtained for the total DFT energy (no corrections) is -4.983 eV/atom. Its uncorrected formation energy is -0.97 kcal/mol of atoms. Its energy relative to the lowest polymorph listed for this composition is 1.39 kcal/mol of atoms.

The structure in CIF format:
```
data_MgInCoN
_space_group_name_H-M_alt 'P 1 m 1'
_space_group_IT_number 6
_cell_length_a 3.837
_cell_length_b 3.470
_cell_length_c 5.493
_cell_angle_alpha 90.00
_cell_angle_beta 90.56
_cell_angle_gamma 90.00
loop_
_space_group_symop_operation_xyz
'x,y,z'
'x,-y,z'
loop_
_atom_site_label
_atom_site_fract_x
_atom_site_fract_y
_atom_site_fract_z
_atom_site_occupancy
Mg1 0.000 0.000 0.000 1
In1 0.490 0.500 0.623 1
Co1 0.502 0.500 0.146 1
N1 0.502 0.000 0.155 1
```

=====

(3)
The following is a DFT calculation (GGA-PBE) of an optimized crystal structure of Mg8SnRh2.

Results
The value obtained for the total DFT energy (no corrections) is -3.163 eV/atom. As for the formation energy: -0.302 eV per atom.

The structure in CIF format:
```
data_Mg8SnRh2
_space_group_name_H-M_alt 'P -1'
_space_group_IT_number 2
_cell_length_a 4.427
_cell_length_b 6.759
_cell_length_c 7.978
_cell_angle_alpha 71.54
_cell_angle_beta 73.94
_cell_angle_gamma 90.00
loop_
_space_group_symop_operation_xyz
'x,y,z'
'-x,-y,-z'
loop_
_atom_site_label
_atom_site_fract_x
_atom_site_fract_y
_atom_site_fract_z
_atom_site_occupancy
Mg1 0.038 0.234 0.421 1
Mg2 0.174 0.746 0.155 1
Mg3 0.319 0.571 0.861 1
Mg4 0.376 0.033 0.747 1
Sn1 0.500 0.500 0.500 1
Rh1 0.203 0.167 0.094 1
```

=====

(4)
The following is a DFT calculation (GGA-PBE) of an optimized crystal structure of K2BaPS4.

Results
The value obtained for the total DFT energy (no corrections) is -4.194 eV/atom. Its uncorrected formation energy is -21.65 kcal/mol of atoms.

The structure in CIF format:
```
data_K2BaPS4
_space_group_name_H-M_alt 'I -4'
_space_group_IT_number 82
_cell_length_a 7.760
_cell_length_b 7.760
_cell_length_c 8.475
_cell_angle_alpha 90.00
_cell_angle_beta 90.00
_cell_angle_gamma 90.00
loop_
_space_group_symop_operation_xyz
'x,y,z'
'y,-x,-z'
'-x,-y,z'
'-y,x,-z'
'x+1/2,y+1/2,z+1/2'
'y+1/2,-x+1/2,-z+1/2'
'-x+1/2,-y+1/2,z+1/2'
'-y+1/2,x+1/2,-z+1/2'
loop_
_atom_site_label
_atom_site_fract_x
_atom_site_fract_y
_atom_site_fract_z
_atom_site_occupancy
K1 0.000 0.000 0.000 1
K2 0.000 0.500 0.250 1
Ba1 0.000 0.000 0.500 1
P1 0.000 0.500 0.750 1
S1 0.167 0.333 0.612 1
```

=====

(5)
The following is a DFT calculation (GGA-PBE) of an optimized crystal structure of NaTc3O.

Results
The value obtained for the total DFT energy (no corrections) is -6.990 eV/atom. Its uncorrected formation energy is 11.18 kcal/mol of atoms. Its energy relative to the lowest polymorph listed for this composition is 0.00 kcal/mol of atoms.

The structure in CIF format:
```
data_NaTc3O
_space_group_name_H-M_alt 'P m -3 m'
_space_group_IT_number 221
_space_group_name_Hall '-P 4 2 3'
_cell_length_a 4.138
_cell_length_b 4.138
_cell_length_c 4.138
_cell_angle_alpha 90.00
_cell_angle_beta 90.00
_cell_angle_gamma 90.00
loop_
_atom_site_label
_atom_site_fract_x
_atom_site_fract_y
_atom_site_fract_z
_atom_site_occupancy
Na1 0.000 0.000 0.000 1
Tc1 0.000 0.500 0.500 1
O1 0.500 0.500 0.500 1
```

=====

(6)
The following is a DFT calculation (GGA-PBE) of an optimized crystal structure of KIn8Hg2.

Results
The value obtained for the total DFT energy (no corrections) is -2.028 eV/atom. Its energy relative to the lowest polymorph listed for this composition is 2.27 kcal/mol of atoms. As for the formation energy: 0.118 eV per atom.

The structure in CIF format:
```
data_KIn8Hg2
_space_group_name_H-M_alt 'P 4/m m m'
_space_group_IT_number 123
_space_group_name_Hall '-P 4 2'
_cell_length_a 6.201
_cell_length_b 6.201
_cell_length_c 10.462
_cell_angle_alpha 90.00
_cell_angle_beta 90.00
_cell_angle_gamma 90.00
loop_
_atom_site_label
_atom_site_fract_x
_atom_site_fract_y
_atom_site_fract_z
_atom_site_occupancy
K1 0.000 0.000 0.000 1
In1 0.251 0.251 0.290 1
Hg1 0.000 0.500 0.500 1
```

=====

(7)
The following is a DFT calculation (GGA-PBE) of an optimized crystal structure of Ba4CaCd5.

Results
The value obtained for the total DFT energy (no corrections) is -1.746 eV/atom. As for the formation energy: -0.319 eV per atom.

The structure in CIF format:
```
data_Ba4CaCd5
_space_group_name_H-M_alt 'P 4/m m m'
_space_group_IT_number 123
_space_group_name_Hall '-P 4 2'
_cell_length_a 4.168
_cell_length_b 4.168
_cell_length_c 20.994
_cell_angle_alpha 90.00
_cell_angle_beta 90.00
_cell_angle_gamma 90.00
loop_
_atom_site_label
_atom_site_fract_x
_atom_site_fract_y
_atom_site_fract_z
_atom_site_occupancy
Ba1 0.000 0.000 0.104 1
Ba2 0.000 0.000 0.313 1
Ca1 0.000 0.000 0.500 1
Cd1 0.500 0.500 0.000 1
Cd2 0.500 0.500 0.208 1
Cd3 0.500 0.500 0.420 1
```

=====

(8)
The following is a DFT calculation (GGA-PBE) of an optimized crystal structure of ZrTlSi2.

Results
The value obtained for the total DFT energy (no corrections) is -5.395 eV/atom. Its uncorrected formation energy is 1.03 kcal/mol of atoms. Its energy relative to the lowest polymorph listed for this composition is 3.28 kcal/mol of atoms.

The structure in CIF format:
```
data_ZrTlSi2
_space_group_name_H-M_alt 'I m m 2'
_space_group_IT_number 44
_cell_length_a 3.521
_cell_length_b 4.711
_cell_length_c 9.367
_cell_angle_alpha 90.00
_cell_angle_beta 90.00
_cell_angle_gamma 90.00
loop_
_space_group_symop_operation_xyz
'x,y,z'
'-x,-y,z'
'-x,y,z'
'x,-y,z'
'x+1/2,y+1/2,z+1/2'
'-x+1/2,-y+1/2,z+1/2'
'-x+1/2,y+1/2,z+1/2'
'x+1/2,-y+1/2,z+1/2'
loop_
_atom_site_label
_atom_site_fract_x
_atom_site_fract_y
_atom_site_fract_z
_atom_site_occupancy
Zr1 0.000 0.000 0.000 1
Tl1 0.000 0.500 0.222 1
Si1 0.000 0.000 0.453 1
Si2 0.000 0.500 0.776 1
```

=====

(9)
The following is a DFT calculation (GGA-PBE) of an optimized crystal structure of KTa2Si.

Results
The value obtained for the total DFT energy (no corrections) is -7.151 eV/atom. Its uncorrected formation energy is 9.36 kcal/mol of atoms.

The structure in CIF format:
```
data_KTa2Si
_space_group_name_H-M_alt 'P 4 m m'
_space_group_IT_number 99
_cell_length_a 2.855
_cell_length_b 2.855
_cell_length_c 10.261
_cell_angle_alpha 90.00
_cell_angle_beta 90.00
_cell_angle_gamma 90.00
loop_
_space_group_symop_operation_xyz
'x,y,z'
'-y,x,z'
'-x,-y,z'
'y,-x,z'
'-x,y,z'
'y,x,z'
'x,-y,z'
'-y,-x,z'
loop_
_atom_site_label
_atom_site_fract_x
_atom_site_fract_y
_atom_site_fract_z
_atom_site_occupancy
K1 0.000 0.000 0.000 1
Ta1 0.000 0.000 0.448 1
Ta2 0.500 0.500 0.669 1
Si1 0.500 0.500 0.256 1
```

=====

(10)
The following is a DFT calculation (GGA-PBE) of an optimized crystal structure of Rb2LiTi.

Results
The value obtained for the total DFT energy (no corrections) is -1.945 eV/atom. Its energy relative to the lowest polymorph listed for this composition is 0.00 kcal/mol of atoms. As for the formation energy: 0.991 eV per atom.

The structure in CIF format:
```
data_Rb2LiTi
_space_group_name_H-M_alt 'F m -3 m'
_space_group_IT_number 225
_space_group_name_Hall '-F 4 2 3'
_cell_length_a 9.141
_cell_length_b 9.141
_cell_length_c 9.141
_cell_angle_alpha 90.00
_cell_angle_beta 90.00
_cell_angle_gamma 90.00
loop_
_atom_site_label
_atom_site_fract_x
_atom_site_fract_y
_atom_site_fract_z
_atom_site_occupancy
Rb1 0.250 0.250 0.250 1
Li1 0.000 0.000 0.000 1
Ti1 0.000 0.000 0.500 1
```